The following is a DFT calculation (GGA+U) of a relaxed structure of Ac2CeCrO6.

Values from the calculation:
M_tot: 2.22 Bohr magnetons per cell
energy: -7.95 eV per atom
density of states at the Fermi level: 5.23 states/eV/f.u.

Cell lengths 5.969, 5.971, 5.967 Å; angles 59.98, 59.98, 89.99 degrees
Each line ends with the local moment (μB).
Sites, in units of the cell vectors:
Ac1 0.250 0.750 0.500  -0.01
Ac2 0.750 0.250 0.500  -0.01
Ce1 0.500 0.500 0.000  -0.66
Cr1 0.000 0.000 0.000  2.92
O1 0.235 0.765 0.000  -0.01
O2 0.765 0.765 0.000  -0.01
O3 0.235 0.235 0.530  -0.01
O4 0.765 0.235 0.000  -0.01
O5 0.235 0.235 0.000  -0.01
O6 0.765 0.765 0.470  -0.01